[1]
## BTe2Pt (SCAN)

Data for BTe2Pt at its PBEsol-relaxed geometry.

abc: 3.4290 3.4290 23.6143
angles: 90.00 90.00 120.00
Space group R-3m (No. 166, hexagonal axes)
One atom of each set of equivalent atoms:
B 0.0000 0.0000 0.0000
Te 0.0000 0.0000 0.3941
Pt 0.0000 0.0000 0.5000

Output
E_tot	-2.74059	Ry/atom


[2]
## Ti3BPt (SCAN)

Data for Ti3BPt at its PBEsol-relaxed geometry.

abc: 4.6818 4.6818 4.6818
angles: 90.00 90.00 90.00
Space group Pm-3m (No. 221)
One atom of each set of equivalent atoms:
Ti 0.0000 0.0000 0.5000
B 0.5000 0.5000 0.5000
Pt 0.0000 0.0000 0.0000

Output
E_tot	-1.77829	Ry/atom
formation energy from the elements	0.948	eV per atom


[3]
## TmBPt2 (SCAN)

Data for TmBPt2 at its PBEsol-relaxed geometry.

abc: 5.2489 5.2489 7.8453
angles: 90.00 90.00 120.00
Space group P6_222 (No. 180)
One atom of each set of equivalent atoms:
Tm 0.0000 0.5000 0.1667
B 0.0000 0.5000 0.6667
Pt 0.1507 0.3014 0.5000

Output
E_tot	-3.75709	Ry/atom
formation energy from the elements	-1.206	eV per atom


[4]
## ZrB2PtW (SCAN)

Data for ZrB2PtW at its PBEsol-relaxed geometry.

abc: 4.1732 4.1732 4.8091
angles: 90.00 90.00 90.00
Space group P4/mmm (No. 123)
One atom of each set of equivalent atoms:
Zr 0.0000 0.0000 0.0000
B 0.0000 0.5000 0.0000
Pt 0.0000 0.0000 0.5000
W 0.5000 0.5000 0.5000

Output
E_tot	-2.57303	Ry/atom
formation energy from the elements	2.080	eV per atom


no.,magnetic moment (μB per formula unit)
1,0.0
2,0.0
3,0.0
4,1.2